An optimized crystal structure of Be6Pd5Pt. Source: Alexandria, functional PBE-GGA.

Values from the calculation:
Energy relative to the elements = -60.1 kJ/mol of atoms

abc: 3.976 5.779 6.902
angles: 114.75 106.72 90.00
Fractional coordinates of all 12 atoms:
Pd: 0.668 0.168 0.337
Pd: 0.332 0.832 0.663
Pd: 0.000 0.500 0.000
Pd: 0.334 0.334 0.667
Pd: 0.666 0.666 0.333
Pt: 0.000 0.000 0.000
Be: 0.500 0.754 0.000
Be: 0.835 0.082 0.669
Be: 0.835 0.586 0.669
Be: 0.165 0.918 0.331
Be: 0.500 0.246 0.000
Be: 0.165 0.414 0.331

=====

An optimized crystal structure of BePdPt. Source: Alexandria, functional PBE-GGA.

Values from the calculation:
Energy relative to the elements = -53.8 kJ/mol of atoms
E above lowest polymorph = 14 meV per atom

abc: 2.766 2.766 5.398
angles: 104.84 104.84 90.00
Fractional coordinates of all 3 atoms:
Be: 0.847 0.847 0.695
Pd: 0.201 0.201 0.401
Pt: 0.487 0.487 0.974

=====

An optimized crystal structure of Be6PdPt5. Source: Alexandria, functional PBE-GGA.

Values from the calculation:
Energy relative to the elements = -71.6 kJ/mol of atoms

abc: 3.969 5.854 6.284
angles: 90.00 108.46 90.00
Fractional coordinates of all 12 atoms:
Pt: 0.334 0.500 0.668
Pt: 0.335 0.000 0.669
Pt: 0.666 0.500 0.332
Pt: 0.000 0.500 0.000
Pt: 0.665 0.000 0.331
Be: 0.833 0.750 0.664
Be: 0.167 0.750 0.336
Be: 0.833 0.250 0.664
Be: 0.167 0.250 0.336
Be: 0.500 0.749 0.000
Be: 0.500 0.251 0.000
Pd: 0.000 0.000 0.000

=====

An optimized crystal structure of Be2PdPt. Source: Alexandria, functional PBE-GGA.

Values from the calculation:
Energy relative to the elements = -67.0 kJ/mol of atoms
E above lowest polymorph = 0 meV per atom

abc: 4.014 4.014 4.014
angles: 60.00 60.00 60.00
Fractional coordinates of all 4 atoms:
Pd: 0.000 0.000 0.000
Be: 0.750 0.750 0.750
Be: 0.250 0.250 0.250
Pt: 0.500 0.500 0.500

=====

For the records above, the corresponding size of the total moment values read 0.00; 0.00; 0.00; 0.00 μB per atom.